The following is a PBE calculation of crystalline Li2MgPb4 at its relaxed geometry, from Alexandria via LeMat-Bulk.

Cell lengths 7.1501, 7.1501, 7.1395 Å; angles 90.00, 90.00, 90.00 degrees
Space group I4/mmm (No. 139)
Asymmetric unit:
Li 0.0000 0.5000 0.0000 x4
Mg 0.0000 0.0000 0.0000 x2
Pb 0.2500 0.2500 0.2500 x8

The value obtained for the total energy is -3.019 eV/atom. The distance to the lowest polymorph of the same formula is 0.000 eV per atom. The density of states at the Fermi level is 6.23 states/eV/cell. The total moment comes out at 0.00 μB per cell.


The following is a PBE calculation of crystalline SrInHg at its relaxed geometry, from Alexandria via LeMat-Bulk.

Cell lengths 8.1172, 4.7544, 13.9637 Å; angles 90.00, 90.54, 90.00 degrees
Space group P2_1/m (No. 11)
Asymmetric unit:
Sr 0.0136 0.2500 0.1249 x2
Sr 0.1539 0.2500 0.4170 x2
Sr 0.4755 0.7500 0.7922 x2
In 0.1499 0.2500 0.7027 x2
In 0.3437 0.7500 0.0427 x2
In 0.4877 0.7500 0.4116 x2
Hg 0.2273 0.7500 0.2499 x2
Hg 0.2533 0.7500 0.5805 x2
Hg 0.2768 0.2500 0.9231 x2

The value obtained for the total energy is -2.020 eV/atom. The density of states at the Fermi level is 10.31 states/eV/cell. The total moment comes out at 0.00 μB per cell.


The following is a PBE calculation of crystalline CdTc2Pt at its relaxed geometry, from Alexandria via LeMat-Bulk.

Cell lengths 9.5842, 2.7871, 4.8356 Å; angles 90.00, 99.63, 90.00 degrees
Space group C2/m (No. 12)
Asymmetric unit:
Cd 0.0000 0.0000 0.0000 x2
Tc 0.2421 0.0000 0.7382 x4
Pt 0.0000 0.5000 0.5000 x2

The value obtained for the total energy is -6.737 eV/atom. The density of states at the Fermi level is 7.08 states/eV/cell. The total moment comes out at 0.00 μB per cell.


The following is a PBE calculation of crystalline CeGa3Ir2 at its relaxed geometry, from Alexandria via LeMat-Bulk.

Cell lengths 16.9208, 4.0838, 9.6904 Å; angles 90.00, 103.69, 90.00 degrees
Space group C2/m (No. 12)
Asymmetric unit:
Ce 0.0000 0.0000 0.0000 x2
Ce 0.1509 0.0000 0.6956 x4
Ga 0.0000 0.5000 0.5000 x2
Ga 0.0506 0.0000 0.3588 x4
Ga 0.1463 0.5000 0.1935 x4
Ga 0.1473 0.5000 0.9342 x4
Ga 0.2214 0.0000 0.3733 x4
Ir 0.0062 0.5000 0.7831 x4
Ir 0.1411 0.5000 0.4535 x4
Ir 0.2097 0.0000 0.0903 x4

The value obtained for the total energy is -6.088 eV/atom. The density of states at the Fermi level is 32.15 states/eV/cell. The total moment comes out at 0.49 μB per cell.


The following is a PBE calculation of crystalline Nd3Se2I2 at its relaxed geometry, from Alexandria via LeMat-Bulk.

Cell lengths 4.2001, 7.3538, 7.8716 Å; angles 81.32, 89.99, 73.42 degrees
Space group P-1 (No. 2)
Asymmetric unit:
Nd 0.0000 0.0000 0.0000 x1
Nd 0.2498 0.5014 0.8011 x2
Se 0.3838 0.2317 0.1350 x2
I 0.1243 0.7508 0.3870 x2

The value obtained for the total energy is -5.050 eV/atom. As for the formation energy without anion corrections: -11.0 eV per formula unit. The density of states at the Fermi level is 2.91 states/eV/cell. The total moment comes out at 0.00 μB per cell.


The following is a PBE calculation of crystalline AcPmCuAu at its relaxed geometry, from Alexandria via LeMat-Bulk.

Cell lengths 7.5207, 7.5207, 7.5207 Å; angles 90.00, 90.00, 90.00 degrees
Space group F-43m (No. 216)
Asymmetric unit:
Ac 0.0000 0.0000 0.0000 x4
Pm 0.0000 0.0000 0.5000 x4
Cu 0.2500 0.2500 0.2500 x4
Au 0.2500 0.2500 0.7500 x4

The value obtained for the total energy is -4.473 eV/atom. The distance to the lowest polymorph of the same formula is 0.053 eV per atom. The density of states at the Fermi level is 11.51 states/eV/cell. The total moment comes out at 0.00 μB per cell.


The following is a PBE calculation of crystalline ZrCrTc at its relaxed geometry, from Alexandria via LeMat-Bulk.

Cell lengths 3.1864, 4.6818, 12.8973 Å; angles 90.00, 90.00, 90.00 degrees
Space group Fmm2 (No. 42)
Asymmetric unit:
Zr 0.0000 0.0000 0.0000 x4
Cr 0.0000 0.0000 0.3251 x4
Tc 0.0000 0.0000 0.6826 x4

The value obtained for the total energy is -9.349 eV/atom. The distance to the lowest polymorph of the same formula is 0.376 eV per atom. The density of states at the Fermi level is 10.45 states/eV/cell. The total moment comes out at 0.00 μB per cell.


The following is a PBE calculation of crystalline Ho8TcSb2 at its relaxed geometry, from Alexandria via LeMat-Bulk.

Cell lengths 19.0329, 4.9367, 6.6974 Å; angles 90.00, 105.04, 90.00 degrees
Space group C2/m (No. 12)
Asymmetric unit:
Ho 0.0177 0.0000 0.2848 x4
Ho 0.0899 0.5000 0.9673 x4
Ho 0.1455 0.5000 0.5092 x4
Ho 0.2176 0.0000 0.8263 x4
Tc 0.0000 0.5000 0.5000 x2
Sb 0.1807 0.0000 0.2594 x4

The value obtained for the total energy is -5.394 eV/atom. As for the formation energy without anion corrections: -4.1 eV per formula unit. The density of states at the Fermi level is 18.07 states/eV/cell. The total moment comes out at 0.00 μB per cell.